Record 1
First-principles (PBE) data for an optimized crystal structure of HgAsIr, as listed in Alexandria.

Computed properties:
Distance to the lowest polymorph of the same formula   0.27 eV per formula unit
Energy relative to the elements   0.08 eV per atom

Lattice parameters (Å, degrees): 3.004 3.004 13.073 90.00 90.00 90.00
Sites, in units of the cell vectors:
Hg1 0.000 0.000 0.000
Hg2 0.500 0.500 0.500
As1 0.000 0.000 0.278
As2 0.500 0.500 0.778
Ir1 0.000 0.000 0.672
Ir2 0.500 0.500 0.172

***

Record 2
First-principles (PBE) data for an optimized crystal structure of HgAs4Ir, as listed in Alexandria.

Computed properties:
Energy relative to the elements   0.83 eV per atom

Lattice parameters (Å, degrees): 5.507 5.507 5.507 60.00 60.00 60.00
Sites, in units of the cell vectors:
Hg1 0.000 0.000 0.000
As1 0.373 0.373 0.373
As2 0.373 0.373 0.882
As3 0.373 0.882 0.373
As4 0.882 0.373 0.373
Ir1 0.750 0.750 0.750

***

Record 3
First-principles (PBE) data for an optimized crystal structure of HgAsIr4, as listed in Alexandria.

Computed properties:
Energy relative to the elements   0.60 eV per atom

Lattice parameters (Å, degrees): 5.270 5.270 5.270 60.00 60.00 60.00
Sites, in units of the cell vectors:
Hg1 0.000 0.000 0.000
As1 0.750 0.750 0.750
Ir1 0.375 0.375 0.375
Ir2 0.375 0.375 0.875
Ir3 0.375 0.875 0.375
Ir4 0.875 0.375 0.375